# 1
# Ba3LiSn2O6

Crystalline Ba3LiSn2O6 at its relaxed geometry (PBE, the Alexandria database).

```
Ba3LiSn2O6
1.0
6.119 0.000 0.000
-3.060 5.299 0.000
0.000 0.000 7.003
Ba Li Sn O
3 1 2 6
Cartesian
0.000 0.000 0.000 Ba
0.000 3.533 4.373 Ba
3.060 1.766 2.629 Ba
0.000 0.000 3.501 Li
0.000 3.533 1.089 Sn
3.060 1.766 5.913 Sn
0.000 1.797 2.124 O
-1.503 4.401 2.124 O
1.556 0.899 4.878 O
1.503 4.401 2.124 O
4.563 0.899 4.878 O
3.060 3.502 4.878 O
```

Volume: 18.9 A^3/atom
Crystal system: trigonal
Formation energy (no corrections): -1974 meV per atom
SG: P-3m1

# 2
# InPb2

Crystalline InPb2 at its relaxed geometry (PBE, the Alexandria database).

```
InPb2
1.0
7.410 0.000 0.000
0.000 7.410 0.000
0.000 0.000 7.410
In Pb
4 8
Cartesian
0.000 0.000 0.000 In
0.000 3.705 3.705 In
3.705 0.000 3.705 In
3.705 3.705 0.000 In
1.852 1.852 1.852 Pb
1.852 1.852 5.557 Pb
1.852 5.557 1.852 Pb
1.852 5.557 5.557 Pb
5.557 1.852 1.852 Pb
5.557 1.852 5.557 Pb
5.557 5.557 1.852 Pb
5.557 5.557 5.557 Pb
```

Volume: 33.9 A^3/atom
ΔE_f: 0.0769 eV per atom
Crystal system: cubic
SG: Fm-3m

# 3
# DyErMnCd

Crystalline DyErMnCd at its relaxed geometry (PBE, the Alexandria database).

```
DyErMnCd
1.0
7.263 0.000 0.000
0.000 7.263 0.000
0.000 0.000 7.263
Dy Er Mn Cd
4 4 4 4
Cartesian
0.000 0.000 0.000 Dy
0.000 3.632 3.632 Dy
3.632 0.000 3.632 Dy
3.632 3.632 0.000 Dy
0.000 0.000 3.632 Er
0.000 3.632 0.000 Er
3.632 0.000 0.000 Er
3.632 3.632 3.632 Er
1.816 1.816 1.816 Mn
1.816 5.447 5.447 Mn
5.447 1.816 5.447 Mn
5.447 5.447 1.816 Mn
1.816 1.816 5.447 Cd
1.816 5.447 1.816 Cd
5.447 1.816 1.816 Cd
5.447 5.447 5.447 Cd
```

Volume: 23.9 A^3/atom
ΔE_f: -0.0153 eV per atom
Crystal system: cubic
SG: F-43m